Density functional theory data (GGA-PBE) for crystalline YGaPb3 at its relaxed geometry.

abc: 5.454 5.454 5.454
angles: 90.00 90.00 90.00
Fractional positions:
Ga  0.000  0.000  0.000
Y  0.500  0.500  0.500
Pb  0.500  0.000  0.000
Pb  0.000  0.000  0.500
Pb  0.000  0.500  0.000

Calculated formation energy   1.33 eV/f.u.
Crystal system   cubic
E   -19.3 eV per cell
Density   7985 kg/m3
DOS at the Fermi energy   4.34 states/eV/f.u.

Density functional theory data (GGA-PBE) for crystalline Y2GaPb2 at its relaxed geometry.

abc: 7.822 7.822 4.539
angles: 90.00 90.00 90.00
Fractional positions:
Ga  0.500  0.500  0.000
Y  0.328  0.172  0.500
Ga  0.000  0.000  0.000
Y  0.172  0.672  0.500
Pb  0.638  0.138  0.000
Pb  0.862  0.638  0.000
Pb  0.138  0.362  0.000
Y  0.828  0.328  0.500
Pb  0.362  0.862  0.000
Y  0.672  0.828  0.500

Calculated formation energy   -1.76 eV/f.u.
Crystal system   tetragonal
E   -50.3 eV per cell
Density   7916 kg/m3
DOS at the Fermi energy   3.02 states/eV/f.u.

Density functional theory data (GGA-PBE) for crystalline YGaPb3 at its relaxed geometry.

abc: 5.880 5.880 5.880
angles: 90.00 90.00 90.00
Fractional positions:
Pb  0.000  0.000  0.500
Y  0.000  0.000  0.000
Ga  0.500  0.500  0.500
Pb  0.500  0.000  0.000
Pb  0.000  0.500  0.000

Calculated formation energy   2.34 eV/f.u.
Crystal system   cubic
E   -18.3 eV per cell
Density   6373 kg/m3
DOS at the Fermi energy   3.26 states/eV/f.u.

Density functional theory data (GGA-PBE) for crystalline YGaPb at its relaxed geometry.

abc: 4.482 4.478 4.478
angles: 120.00 90.00 90.00
Fractional positions:
Pb  0.722  0.667  0.333
Y  0.294  0.333  0.667
Ga  0.984  0.000  0.000

Calculated formation energy   -1.14 eV/f.u.
Crystal system   trigonal
E   -14.3 eV per cell
Density   7805 kg/m3
DOS at the Fermi energy   0.32 states/eV/f.u.

Density functional theory data (GGA-PBE) for crystalline Y12Ga6Pb at its relaxed geometry.

abc: 8.776 8.776 8.776
angles: 109.47 109.47 109.47
Fractional positions:
Y  0.297  0.108  0.811
Y  0.108  0.811  0.297
Y  0.892  0.189  0.703
Pb  0.000  0.000  0.000
Ga  0.878  0.378  0.500
Ga  0.378  0.500  0.878
Y  0.189  0.703  0.892
Y  0.703  0.892  0.189
Y  0.703  0.514  0.811
Y  0.811  0.703  0.514
Y  0.486  0.189  0.297
Y  0.189  0.297  0.486
Ga  0.122  0.622  0.500
Ga  0.500  0.122  0.622
Ga  0.622  0.500  0.122
Y  0.514  0.811  0.703
Y  0.811  0.297  0.108
Ga  0.500  0.878  0.378
Y  0.297  0.486  0.189

Calculated formation energy   -8.21 eV/f.u.
Crystal system   cubic
E   -107.6 eV per cell
Density   5402 kg/m3
DOS at the Fermi energy   16.98 states/eV/f.u.

Density functional theory data (GGA-PBE) for crystalline Y3GaPb2 at its relaxed geometry.

abc: 4.449 12.047 12.476
angles: 90.00 90.00 90.00
Fractional positions:
Y  0.250  0.713  0.234
Y  0.250  0.449  0.379
Y  0.750  0.287  0.766
Y  0.750  0.949  0.121
Pb  0.250  0.500  0.815
Pb  0.250  0.699  0.505
Ga  0.250  0.369  0.625
Pb  0.750  0.199  0.995
Ga  0.250  0.131  0.125
Y  0.250  0.787  0.734
Pb  0.750  0.301  0.495
Y  0.750  0.879  0.444
Y  0.250  0.379  0.056
Y  0.750  0.213  0.266
Ga  0.750  0.631  0.375
Y  0.250  0.121  0.556
Pb  0.750  0.500  0.185
Y  0.250  0.051  0.879
Pb  0.250  0.000  0.315
Y  0.750  0.621  0.944
Ga  0.750  0.869  0.875
Pb  0.750  0.000  0.685
Y  0.750  0.551  0.621
Pb  0.250  0.801  0.005

Calculated formation energy   -3.03 eV/f.u.
Crystal system   orthorhombic
E   -131.5 eV per cell
Density   7458 kg/m3
DOS at the Fermi energy   3.99 states/eV/f.u.

Density functional theory data (GGA-PBE) for crystalline Y3GaPb2 at its relaxed geometry.

abc: 6.293 6.428 8.805
angles: 100.21 110.94 90.00
Fractional positions:
Y  0.274  0.093  0.324
Pb  0.776  0.068  0.331
Y  0.726  0.907  0.676
Pb  0.445  0.432  0.669
Y  0.950  0.407  0.676
Pb  0.224  0.932  0.669
Y  0.050  0.593  0.324
Y  0.369  0.750  0.000
Ga  0.881  0.750  0.000
Pb  0.555  0.568  0.331
Y  0.631  0.250  0.000
Ga  0.119  0.250  0.000

Calculated formation energy   -2.77 eV/f.u.
Crystal system   monoclinic
E   -65.2 eV per cell
Density   7635 kg/m3
DOS at the Fermi energy   4.88 states/eV/f.u.

Density functional theory data (GGA-PBE) for crystalline Y3Ga2Pb2 at its relaxed geometry.

abc: 4.373 6.100 7.930
angles: 111.46 90.00 111.00
Fractional positions:
Y  0.673  0.346  0.642
Ga  0.788  0.576  0.083
Pb  0.954  0.909  0.676
Pb  0.046  0.091  0.324
Ga  0.212  0.424  0.917
Y  0.327  0.654  0.358
Y  0.500  0.000  0.000

Calculated formation energy   -3.79 eV/f.u.
Crystal system   monoclinic
E   -36.6 eV per cell
Density   7499 kg/m3
DOS at the Fermi energy   4.96 states/eV/f.u.

Density functional theory data (GGA-PBE) for crystalline Y2GaPb2 at its relaxed geometry.

abc: 7.828 7.828 4.673
angles: 90.00 90.00 90.00
Fractional positions:
Y  0.667  0.167  0.000
Ga  0.000  0.000  0.000
Pb  0.356  0.144  0.500
Pb  0.856  0.356  0.500
Y  0.833  0.667  0.000
Y  0.167  0.333  0.000
Ga  0.500  0.500  0.000
Pb  0.644  0.856  0.500
Pb  0.144  0.644  0.500
Y  0.333  0.833  0.000

Calculated formation energy   -1.76 eV/f.u.
Crystal system   tetragonal
E   -50.3 eV per cell
Density   7677 kg/m3
DOS at the Fermi energy   3.72 states/eV/f.u.

Density functional theory data (GGA-PBE) for crystalline ZnGaPb at its relaxed geometry.

abc: 5.733 5.733 5.733
angles: 89.74 57.04 116.83
Fractional positions:
Ga  0.500  0.000  0.000
Zn  0.500  0.500  0.000
Pb  0.750  0.869  0.381
Zn  0.000  0.500  0.500
Pb  0.250  0.131  0.619
Ga  0.000  0.500  0.000

Calculated formation energy   0.23 eV/f.u.
Crystal system   orthorhombic
E   -15.5 eV per cell
Density   8550 kg/m3
DOS at the Fermi energy   0.87 states/eV/f.u.

Density functional theory data (GGA-PBE) for crystalline ZnGaPb3 at its relaxed geometry.

abc: 5.423 5.423 5.423
angles: 90.00 90.00 90.00
Fractional positions:
Zn  0.000  0.000  0.000
Pb  0.000  0.000  0.500
Ga  0.500  0.500  0.500
Pb  0.500  0.000  0.000
Pb  0.000  0.500  0.000

Calculated formation energy   1.95 eV/f.u.
Crystal system   cubic
E   -13.5 eV per cell
Density   7881 kg/m3
DOS at the Fermi energy   3.68 states/eV/f.u.

Density functional theory data (GGA-PBE) for crystalline ZnGaPb at its relaxed geometry.

abc: 3.431 3.431 6.250
angles: 105.93 105.93 90.00
Fractional positions:
Zn  0.691  0.691  0.381
Pb  0.002  0.002  0.005
Ga  0.307  0.307  0.614

Calculated formation energy   0.30 eV/f.u.
Crystal system   tetragonal
E   -7.7 eV per cell
Density   8385 kg/m3
DOS at the Fermi energy   1.00 states/eV/f.u.